(1)
! GdEr2In3NiGe2, optimized geometry, DFT PBE; values from VASP
! Energy   -42.16 eV per formula unit
! SG   Amm2 (38)
&SYSTEM
  ibrav = 0, nat = 9, ntyp = 5
/
ATOMIC_SPECIES
Gd 157.25 Gd.upf
Er 167.26 Er.upf
In 114.82 In.upf
Ni 58.69 Ni.upf
Ge 72.64 Ge.upf
ATOMIC_POSITIONS angstrom
Gd 0.0000 0.0000 0.0000
Er 0.0000 -2.5505 2.8808
Er 0.0000 2.5505 2.8808
In 2.1173 0.0000 2.5953
In 2.1173 -1.5188 5.2123
In 2.1173 1.5188 5.2123
Ni 0.0000 0.0000 4.3166
Ge 2.1173 -4.2005 4.3500
Ge 2.1173 4.2005 4.3500
CELL_PARAMETERS angstrom
4.2347 0.0000 0.0000
0.0000 6.3365 3.6444
0.0000 -6.3365 3.6444


(2)
! NaNiAuSe3, optimized geometry, DFT PBE; values from VASP
! Energy   -22.30 eV per formula unit
! SG   Cmcm (63)
&SYSTEM
  ibrav = 0, nat = 12, ntyp = 4
/
ATOMIC_SPECIES
Na 22.99 Na.upf
Ni 58.69 Ni.upf
Au 196.97 Au.upf
Se 78.96 Se.upf
ATOMIC_POSITIONS angstrom
Na 1.7408 4.2620 7.6446
Na 1.7408 -4.2620 2.5482
Ni 1.7408 0.0000 0.0000
Ni 1.7408 0.0000 5.0964
Au 1.7408 5.5565 2.5482
Au 1.7408 -5.5565 7.6446
Se 1.7408 5.7697 0.1067
Se 1.7408 5.7697 4.9897
Se 1.7408 0.6911 2.5482
Se 1.7408 -0.6911 7.6446
Se 1.7408 -5.7697 5.2031
Se 1.7408 -5.7697 10.0862
CELL_PARAMETERS angstrom
1.7408 -7.4141 0.0000
1.7408 7.4141 0.0000
0.0000 0.0000 10.1929


(3)
! MgNbSb, optimized geometry, DFT PBE; values from VASP
! Energy   -14.58 eV per formula unit
! Energy above the most stable polymorph in this dataset   34 meV per atom
! SG   F-43m (216)
&SYSTEM
  ibrav = 0, nat = 3, ntyp = 3
/
ATOMIC_SPECIES
Mg 24.30 Mg.upf
Nb 92.91 Nb.upf
Sb 121.76 Sb.upf
ATOMIC_POSITIONS angstrom
Mg 0.0000 0.0000 0.0000
Nb 1.6659 1.6659 1.6659
Sb 3.3318 3.3318 3.3318
CELL_PARAMETERS angstrom
0.0000 3.3318 3.3318
3.3318 0.0000 3.3318
3.3318 3.3318 0.0000